# KNa2TlSi | the Alexandria database | PBE | relaxed
data_KNa2TlSi
_chemical_formula_sum 'K1 Na2 Tl1 Si1'
_symmetry_space_group_name_H-M 'P 4/m m m'
_symmetry_Int_Tables_number 123
_symmetry_space_group_name_Hall '-P 4 2'
_cell_length_a 5.689
_cell_length_b 5.689
_cell_length_c 5.567
_cell_angle_alpha 90.00
_cell_angle_beta 90.00
_cell_angle_gamma 90.00
loop_
_atom_site_label
_atom_site_fract_x
_atom_site_fract_y
_atom_site_fract_z
K1 0.000 0.000 0.000
Na1 0.000 0.500 0.500
Tl1 0.500 0.500 0.000
Si1 0.500 0.500 0.500
# **Energy relative to the elements, uncorrected**: 0.5 eV/f.u.



# KNaTl2Si | the Alexandria database | PBE | relaxed
data_KNaTl2Si
_chemical_formula_sum 'K1 Na1 Tl2 Si1'
_symmetry_space_group_name_H-M 'P 4/m m m'
_symmetry_Int_Tables_number 123
_symmetry_space_group_name_Hall '-P 4 2'
_cell_length_a 5.643
_cell_length_b 5.643
_cell_length_c 5.574
_cell_angle_alpha 90.00
_cell_angle_beta 90.00
_cell_angle_gamma 90.00
loop_
_atom_site_label
_atom_site_fract_x
_atom_site_fract_y
_atom_site_fract_z
K1 0.000 0.000 0.000
Na1 0.500 0.500 0.000
Tl1 0.000 0.500 0.500
Si1 0.500 0.500 0.500
# **Energy relative to the elements, uncorrected**: 0.8 eV/f.u.
# **Energy above the most stable polymorph in this dataset**: 0.0 meV per atom



# KNaTl2Si | the Alexandria database | PBE | relaxed
data_KNaTl2Si
_chemical_formula_sum 'K1 Na1 Tl2 Si1'
_symmetry_space_group_name_H-M 'P 4/m m m'
_symmetry_Int_Tables_number 123
_symmetry_space_group_name_Hall '-P 4 2'
_cell_length_a 6.133
_cell_length_b 6.133
_cell_length_c 5.694
_cell_angle_alpha 90.00
_cell_angle_beta 90.00
_cell_angle_gamma 90.00
loop_
_atom_site_label
_atom_site_fract_x
_atom_site_fract_y
_atom_site_fract_z
K1 0.000 0.000 0.000
Na1 0.500 0.500 0.500
Tl1 0.000 0.500 0.000
Si1 0.000 0.000 0.500
# **Energy relative to the elements, uncorrected**: 4.2 eV/f.u.
# **Energy above the most stable polymorph in this dataset**: 681.5 meV per atom



# K2NaSm | the Alexandria database | PBE | relaxed
data_K2NaSm
_chemical_formula_sum 'K6 Na3 Sm3'
_symmetry_space_group_name_H-M 'R -3 m'
_symmetry_Int_Tables_number 166
_symmetry_space_group_name_Hall '-R 3 2"'
_cell_length_a 3.7861
_cell_length_b 3.7861
_cell_length_c 43.7804
_cell_angle_alpha 90.00
_cell_angle_beta 90.00
_cell_angle_gamma 120.00
loop_
_atom_site_label
_atom_site_fract_x
_atom_site_fract_y
_atom_site_fract_z
K1 0.0000 0.0000 0.0853
Na1 0.0000 0.0000 0.5000
Sm1 0.0000 0.0000 0.0000
# **Energy of formation from the pure elements**: 0.328 eV per atom



# KNa2Sm | the Alexandria database | PBE | relaxed
data_KNa2Sm
_chemical_formula_sum 'K3 Na6 Sm3'
_symmetry_space_group_name_H-M 'R -3 m'
_symmetry_Int_Tables_number 166
_symmetry_space_group_name_Hall '-R 3 2"'
_cell_length_a 3.6572
_cell_length_b 3.6572
_cell_length_c 42.8887
_cell_angle_alpha 90.00
_cell_angle_beta 90.00
_cell_angle_gamma 120.00
loop_
_atom_site_label
_atom_site_fract_x
_atom_site_fract_y
_atom_site_fract_z
K1 0.0000 0.0000 0.0000
Na1 0.0000 0.0000 0.4194
Sm1 0.0000 0.0000 0.5000
# **Energy of formation from the pure elements**: 0.291 eV per atom



# K3Na8Sn2 | the Alexandria database | PBE | relaxed
data_K3Na8Sn2
_chemical_formula_sum 'K9 Na24 Sn6'
_symmetry_space_group_name_H-M 'R -3 m'
_symmetry_Int_Tables_number 166
_symmetry_space_group_name_Hall '-R 3 2"'
_cell_length_a 6.8956
_cell_length_b 6.8956
_cell_length_c 39.2965
_cell_angle_alpha 90.00
_cell_angle_beta 90.00
_cell_angle_gamma 120.00
loop_
_atom_site_label
_atom_site_fract_x
_atom_site_fract_y
_atom_site_fract_z
K1 0.0000 0.0000 0.0000
K2 0.0000 0.0000 0.2427
Na1 0.0000 0.0000 0.3257
Na2 0.0044 0.5022 0.7957
Sn1 0.0000 0.0000 0.4010
# **Energy of formation from the pure elements**: 0.054 eV per atom



M_tot values (in μB per formula unit) by entry order: 0.00, 0.00, 0.01, 0.00, 0.00, 0.00.